P | # PBE AgP, optimized geometry
data_AgP
_symmetry_space_group_name_H-M 'I 4/m'
_symmetry_Int_Tables_number 87
_symmetry_space_group_name_Hall '-I 4'
_cell_length_a 10.477
_cell_length_b 10.477
_cell_length_c 3.234
_cell_angle_alpha 90.00
_cell_angle_beta 90.00
_cell_angle_gamma 90.00
loop_
_atom_site_label
_atom_site_fract_x
_atom_site_fract_y
_atom_site_fract_z
_atom_site_occupancy
Ag1 0.018 0.189 0.000 1
P1 0.193 0.705 0.000 1
# DOS at the Fermi energy: 3.43 states/eV/cell
# Crystal system: tetragonal


Q | # PBE AgP, optimized geometry
data_AgP
_symmetry_space_group_name_H-M 'P -3 m 1'
_symmetry_Int_Tables_number 164
_symmetry_space_group_name_Hall '-P 3 2"'
_cell_length_a 2.8314
_cell_length_b 2.8314
_cell_length_c 9.7465
_cell_angle_alpha 90.00
_cell_angle_beta 90.00
_cell_angle_gamma 120.00
loop_
_atom_site_label
_atom_site_fract_x
_atom_site_fract_y
_atom_site_fract_z
_atom_site_occupancy
Ag1 0.3333 0.6667 0.1269 1
P1 0.3333 0.6667 0.6439 1
# DOS at the Fermi energy: 1.57 states/eV/cell
# Crystal system: trigonal


R | # PBE AgP, optimized geometry
data_AgP
_symmetry_space_group_name_H-M 'P 4/n m m'
_symmetry_Int_Tables_number 129
_cell_length_a 3.821
_cell_length_b 3.821
_cell_length_c 4.742
_cell_angle_alpha 90.00
_cell_angle_beta 90.00
_cell_angle_gamma 90.00
loop_
_symmetry_equiv_pos_as_xyz
'x,y,z'
'-x,-y,-z'
'-y+1/2,x,z'
'y+1/2,-x,-z'
'-x+1/2,-y+1/2,z'
'x+1/2,y+1/2,-z'
'y,-x+1/2,z'
'-y,x+1/2,-z'
'x+1/2,-y,-z'
'-x+1/2,y,z'
'-y,-x,-z'
'y,x,z'
'-x,y+1/2,-z'
'x,-y+1/2,z'
'y+1/2,x+1/2,-z'
'-y+1/2,-x+1/2,z'
loop_
_atom_site_label
_atom_site_fract_x
_atom_site_fract_y
_atom_site_fract_z
_atom_site_occupancy
Ag1 0.250 0.750 0.000 1
P1 0.250 0.250 0.443 1
# DOS at the Fermi energy: 1.27 states/eV/cell
# Crystal system: tetragonal


Ranking the structures above by energy, P is first and the second is 26.3 kJ/mol of atoms behind.